Record 1
# Mg3Cu2Pt, relaxed, DFT PBE-GGA
data_Mg3Cu2Pt
_chemical_formula_sum 'Mg6 Cu4 Pt2'
_space_group_name_H-M_alt 'P 1'
_space_group_IT_number 1
_cell_length_a 4.467
_cell_length_b 4.467
_cell_length_c 10.925
_cell_angle_alpha 90.00
_cell_angle_beta 90.00
_cell_angle_gamma 120.00
loop_
_space_group_symop_operation_xyz
'x,y,z'
loop_
_atom_site_label
_atom_site_fract_x
_atom_site_fract_y
_atom_site_fract_z
Mg1 0.333 0.667 0.417
Mg2 0.667 0.333 0.083
Mg3 0.000 0.000 0.748
Mg4 0.000 0.000 0.252
Mg5 0.333 0.667 0.917
Mg6 0.667 0.333 0.583
Cu1 0.000 0.000 0.500
Cu2 0.333 0.667 0.168
Cu3 0.667 0.333 0.832
Cu4 0.000 0.000 0.000
Pt1 0.333 0.667 0.667
Pt2 0.667 0.333 0.333
# Crystal system: trigonal
# Total moment: 0.00 μB per cell


Record 2
# RbTlBi, relaxed, DFT PBE-GGA
data_RbTlBi
_chemical_formula_sum 'Rb1 Tl1 Bi1'
_space_group_name_H-M_alt 'P 1'
_space_group_IT_number 1
_cell_length_a 5.619
_cell_length_b 5.619
_cell_length_c 5.619
_cell_angle_alpha 60.00
_cell_angle_beta 60.00
_cell_angle_gamma 60.00
loop_
_space_group_symop_operation_xyz
'x,y,z'
loop_
_atom_site_label
_atom_site_fract_x
_atom_site_fract_y
_atom_site_fract_z
Tl1 0.250 0.250 0.250
Bi1 0.000 0.000 0.000
Rb1 0.500 0.500 0.500
# Crystal system: cubic
# Total moment: 0.00 μB per cell


Record 3
# SiSb2Mo, relaxed, DFT PBE-GGA
data_SiSb2Mo
_chemical_formula_sum 'Si1 Sb2 Mo1'
_space_group_name_H-M_alt 'P 1'
_space_group_IT_number 1
_cell_length_a 3.393
_cell_length_b 4.834
_cell_length_c 4.834
_cell_angle_alpha 90.00
_cell_angle_beta 90.00
_cell_angle_gamma 90.00
loop_
_space_group_symop_operation_xyz
'x,y,z'
loop_
_atom_site_label
_atom_site_fract_x
_atom_site_fract_y
_atom_site_fract_z
Mo1 0.500 0.000 0.500
Sb1 0.000 0.000 0.000
Sb2 0.000 0.500 0.500
Si1 0.500 0.500 0.000
# Crystal system: tetragonal
# Total moment: 0.00 μB per cell


Record 4
# CsNbHgSe2, relaxed, DFT PBE-GGA
data_CsNbHgSe2
_chemical_formula_sum 'Cs1 Nb1 Hg1 Se2'
_space_group_name_H-M_alt 'P 1'
_space_group_IT_number 1
_cell_length_a 5.140
_cell_length_b 5.140
_cell_length_c 5.691
_cell_angle_alpha 90.00
_cell_angle_beta 90.00
_cell_angle_gamma 90.00
loop_
_space_group_symop_operation_xyz
'x,y,z'
loop_
_atom_site_label
_atom_site_fract_x
_atom_site_fract_y
_atom_site_fract_z
Cs1 0.500 0.500 0.500
Nb1 0.000 0.000 0.000
Hg1 0.000 0.000 0.500
Se1 0.000 0.500 0.000
Se2 0.500 0.000 0.000
# Crystal system: tetragonal
# Total moment: 0.00 μB per cell


Record 5
# ZrC3, relaxed, DFT PBE-GGA
data_ZrC3
_chemical_formula_sum 'Zr1 C3'
_space_group_name_H-M_alt 'P 1'
_space_group_IT_number 1
_cell_length_a 2.792
_cell_length_b 4.048
_cell_length_c 3.578
_cell_angle_alpha 90.00
_cell_angle_beta 90.00
_cell_angle_gamma 90.00
loop_
_space_group_symop_operation_xyz
'x,y,z'
loop_
_atom_site_label
_atom_site_fract_x
_atom_site_fract_y
_atom_site_fract_z
C1 0.000 0.000 0.851
C2 0.500 0.000 0.664
C3 0.500 0.500 0.827
Zr1 0.000 0.500 0.325
# Crystal system: orthorhombic
# Total moment: 0.00 μB per cell


Record 6
# Ba2NpH4, relaxed, DFT PBE-GGA
data_Ba2NpH4
_chemical_formula_sum 'Ba2 Np1 H4'
_space_group_name_H-M_alt 'P 1'
_space_group_IT_number 1
_cell_length_a 4.377
_cell_length_b 4.377
_cell_length_c 7.913
_cell_angle_alpha 73.94
_cell_angle_beta 73.94
_cell_angle_gamma 90.00
loop_
_space_group_symop_operation_xyz
'x,y,z'
loop_
_atom_site_label
_atom_site_fract_x
_atom_site_fract_y
_atom_site_fract_z
Np1 0.000 0.000 0.000
H1 0.840 0.840 0.320
H2 0.160 0.160 0.680
H3 0.000 0.500 0.000
H4 0.500 0.000 0.000
Ba1 0.650 0.650 0.701
Ba2 0.350 0.350 0.299
# Crystal system: tetragonal
# Total moment: 5.59 μB per cell


Total energy for the records above, in order: -42.64 -7.51 -22.01 -21.04 -31.21 -30.63 eV/cell